No. 1
A relaxed structure of LiTbPd, computed with PBE-GGA.

The structure in POSCAR format:
```
LiTbPd
1.0
4.640 0.000 0.000
2.320 4.018 0.000
2.320 1.339 3.788
Tb Pd Li
1 1 1
Direct
0.000 0.000 0.000
0.250 0.250 0.250
0.500 0.500 0.500
```

Results
Energy above the most stable polymorph in this dataset in kJ/mol of atoms: 17.71
Total DFT energy (no corrections) in eV/atom: -4.323

No. 2
A relaxed structure of Ca2MnSn3Pt4, computed with PBE-GGA.

The structure in POSCAR format:
```
Ca2MnSn3Pt4
1.0
-3.333 -1.020 2.427
2.620 -0.906 3.217
-0.715 11.277 3.759
Ca Mn Sn Pt
2 1 3 4
Direct
0.500 0.000 0.262
0.000 0.500 0.738
0.500 0.500 0.500
0.000 0.000 0.500
0.500 0.000 0.861
0.000 0.500 0.139
0.500 0.500 0.000
0.000 0.000 0.000
0.500 0.000 0.641
0.000 0.500 0.359
```

Results
Total DFT energy (no corrections) in eV/atom: -5.603

No. 3
A relaxed structure of MnZnBr, computed with PBE-GGA.

The structure in POSCAR format:
```
MnZnBr
1.0
-2.741 3.108 -2.344
-1.504 -1.001 -4.405
-4.591 -0.991 -0.780
Br Mn Zn
1 1 1
Direct
0.000 0.000 0.000
0.500 0.500 0.500
0.750 0.750 0.750
```

Results
E_form (uncorrected) in eV per atom: 0.6419
Energy above the most stable polymorph in this dataset in kJ/mol of atoms: 56.30
Total DFT energy (no corrections) in eV/atom: -3.397

No. 4
A relaxed structure of Zr2ScN3, computed with PBE-GGA.

The structure in POSCAR format:
```
Zr2ScN3
1.0
4.576 0.000 0.000
0.000 6.465 0.004
-2.288 -1.617 4.877
Zr Sc N
4 2 6
Direct
0.665 0.582 0.330
0.665 0.082 0.330
0.335 0.918 0.670
0.335 0.418 0.670
0.000 0.750 0.000
0.000 0.250 0.000
0.500 0.250 0.000
0.500 0.750 0.000
0.164 0.082 0.327
0.836 0.418 0.673
0.164 0.582 0.327
0.836 0.918 0.673
```

Results
E_form (uncorrected) in eV per atom: -1.7964
Energy above the most stable polymorph in this dataset in kJ/mol of atoms: 0.00
Total DFT energy (no corrections) in eV/atom: -9.864

No. 5
A relaxed structure of TlZnTcSe2, computed with PBE-GGA.

The structure in POSCAR format:
```
TlZnTcSe2
1.0
5.510 0.000 0.000
0.000 4.956 0.000
0.000 0.000 5.510
Zn Tl Tc Se
1 1 1 2
Direct
0.000 0.500 0.000
0.000 0.000 0.000
0.500 0.500 0.500
0.000 0.000 0.500
0.500 0.000 0.000
```

Results
E_form (uncorrected) in eV per atom: 1.2332
Total DFT energy (no corrections) in eV/atom: -2.962

No. 6
A relaxed structure of Er2MgF8, computed with PBE-GGA.

The structure in POSCAR format:
```
Er2MgF8
1.0
4.546 -0.642 -0.534
-0.645 5.805 0.274
-0.645 1.331 5.657
Er Mg F
2 1 8
Direct
0.613 0.324 0.324
0.387 0.676 0.676
0.000 0.000 0.000
0.732 0.047 0.663
0.268 0.337 0.953
0.764 0.136 0.136
0.236 0.864 0.864
0.732 0.663 0.047
0.268 0.953 0.337
0.207 0.422 0.422
0.793 0.578 0.578
```

Results
E_form (uncorrected) in eV per atom: -3.9711
Energy above the most stable polymorph in this dataset in kJ/mol of atoms: 0.00
Total DFT energy (no corrections) in eV/atom: -6.307

No. 7
A relaxed structure of Be2RuBr, computed with PBE-GGA.

The structure in POSCAR format:
```
Be2RuBr
1.0
4.741 0.002 -0.001
1.838 4.370 0.001
-2.876 -2.808 2.513
Ru Br Be
1 1 2
Direct
0.220 0.720 0.500
0.526 0.526 0.000
0.989 0.989 0.000
0.765 0.265 0.500
```

Results
E_form (uncorrected) in eV per atom: 0.5862
Energy above the most stable polymorph in this dataset in kJ/mol of atoms: 45.34
Total DFT energy (no corrections) in eV/atom: -4.014

No. 8
A relaxed structure of NaAg2Se2, computed with PBE-GGA.

The structure in POSCAR format:
```
NaAg2Se2
1.0
-7.877 0.520 -0.233
-0.370 -2.208 7.574
0.191 3.329 0.980
Na Se Ag
2 4 4
Direct
0.000 0.000 0.000
0.500 0.500 0.000
0.327 0.827 0.000
0.827 0.673 0.000
0.673 0.173 0.000
0.173 0.327 0.000
0.131 0.631 0.500
0.631 0.869 0.500
0.869 0.369 0.500
0.369 0.131 0.500
```

Results
E_form (uncorrected) in eV per atom: -0.2477
Energy above the most stable polymorph in this dataset in kJ/mol of atoms: 7.61
Total DFT energy (no corrections) in eV/atom: -3.046

No. 9
A relaxed structure of LiCoRe3, computed with PBE-GGA.

The structure in POSCAR format:
```
LiCoRe3
1.0
-0.816 3.331 -2.803
-1.125 -2.916 -3.138
-4.205 0.135 1.383
Re Co Li
3 1 1
Direct
0.000 0.500 0.000
0.000 0.000 0.500
0.500 0.000 0.000
0.000 0.000 0.000
0.500 0.500 0.500
```

Results
Energy above the most stable polymorph in this dataset in kJ/mol of atoms: 19.34
Total DFT energy (no corrections) in eV/atom: -7.635

No. 10
A relaxed structure of LaTa2Ag, computed with PBE-GGA.

The structure in POSCAR format:
```
LaTa2Ag
1.0
10.547 -0.075 -0.044
10.116 2.984 -0.044
10.116 1.424 2.623
La Ag Ta
1 1 2
Direct
0.748 0.748 0.748
0.509 0.509 0.509
0.992 0.992 0.992
0.251 0.251 0.251
```

Results
Energy above the most stable polymorph in this dataset in kJ/mol of atoms: 18.11
Total DFT energy (no corrections) in eV/atom: -7.425

No. 11
A relaxed structure of AlSbSeBr2, computed with PBE-GGA.

The structure in POSCAR format:
```
AlSbSeBr2
1.0
5.666 0.000 0.000
0.000 5.666 0.000
0.000 0.000 5.388
Sb Se Br Al
1 1 2 1
Direct
0.000 0.000 0.000
0.000 0.000 0.500
0.000 0.500 0.000
0.500 0.000 0.000
0.500 0.500 0.500
```

Results
E_form (uncorrected) in eV per atom: -0.0241
Energy above the most stable polymorph in this dataset in kJ/mol of atoms: 8.10
Total DFT energy (no corrections) in eV/atom: -2.963

No. 12
A relaxed structure of K2GaP2H3O8F2, computed with PBE-GGA.

The structure in POSCAR format:
```
K2GaP2H3O8F2
1.0
8.420 0.000 0.000
0.000 4.821 0.014
0.000 0.718 10.983
K Ga P H O F
4 2 4 6 16 4
Direct
0.607 0.487 0.582
0.107 0.513 0.418
0.398 0.513 0.918
0.898 0.487 0.082
0.003 0.500 0.750
0.503 0.500 0.250
0.764 0.981 0.832
0.264 0.019 0.168
0.241 0.020 0.668
0.741 0.980 0.332
0.661 0.939 0.020
0.161 0.061 0.980
0.344 0.061 0.480
0.844 0.939 0.520
0.504 0.000 0.750
0.004 0.000 0.250
0.816 0.244 0.758
0.316 0.756 0.242
0.190 0.757 0.743
0.690 0.243 0.257
0.713 0.084 0.962
0.213 0.916 0.038
0.292 0.916 0.538
0.792 0.084 0.462
0.891 0.755 0.855
0.391 0.245 0.145
0.115 0.245 0.645
0.615 0.755 0.355
0.615 0.851 0.774
0.115 0.149 0.226
0.391 0.149 0.726
0.891 0.851 0.274
0.913 0.678 0.601
0.413 0.322 0.399
0.093 0.323 0.900
0.593 0.677 0.100
```

Results
Total DFT energy (no corrections) in eV/atom: -5.921